KBaMg2Ge (GGA-PBE, relaxed); density = 2.472 Mg/m³; total moment = 0.79 μB/f.u.; V = 40.00 Å³ per atom; energy = -0.058 hartree per atom; formation enthalpy at 0 K = 600 meV/atom; DOS(E_F) = 0.844 states/eV/atom
1.0
5.8336 0.0000 0.0000
0.0000 5.8762 0.0000
0.0000 0.0000 5.8336
Ge Ba K Mg
1 1 1 2
Direct
0.0000 0.5000 0.0000
0.5000 0.5000 0.5000
0.0000 0.0000 0.0000
0.5000 0.0000 0.0000
0.0000 0.0000 0.5000